# NaHoCo

An optimized crystal structure of NaHoCo (PBE-GGA, OQMD).

Values from the calculation:
space group: F-43m, No. 216
VASP energy: -10.1 eV for the cell shown
total magnetic moment: 0.5 μB/cell

The structure in POSCAR format:
```
NaHoCo
1.0
2.321 1.340 3.790
-2.321 1.340 3.790
0.000 -2.680 3.790
Co Ho Na
1 1 1
direct
0.250 0.250 0.250
0.000 0.000 0.000
0.750 0.750 0.750
```